This record from Alexandria via LeMat-Bulk describes an optimized crystal structure of Np2B7Ir12. The functional is PBE.

Cell and atoms, written as POSCAR:
```
Np2B7Ir12
1.0
3.8762 0.0000 0.0000
-0.0001 7.7924 -4.4990
0.0000 0.0000 8.9979
Ir B Np
12 7 2
Direct
0.5047 0.2474 0.8022
0.0044 0.4993 0.9325
0.5038 0.3915 0.2736
0.0039 0.7688 0.7413
0.0039 0.2587 0.0275
0.5038 0.8821 0.6084
0.0044 0.4332 0.5007
0.5047 0.1978 0.4452
0.5038 0.7264 0.1179
0.0039 0.9725 0.2312
0.0044 0.0675 0.5668
0.5047 0.5548 0.7526
0.0056 0.2213 0.2436
0.0056 0.7564 0.9778
0.5005 0.6134 0.5485
0.0056 0.0222 0.7787
0.5005 0.4515 0.0649
0.9255 0.3333 0.6667
0.5005 0.9351 0.3866
0.5041 0.0000 0.0000
0.0018 0.6667 0.3333
```

## Properties
E_form in eV/atom: -0.297
DFT total energy in eV per atom: -8.82
SG: No. 143